Entry 1:
Material: PuPaAgBi
Method: DFT, PBE
State: optimized geometry

Values from the calculation:
The energy of formation from the pure elements comes out at 0.048 eV/atom.

CIF file:
```
data_PuPaAgBi
_symmetry_space_group_name_H-M 'F -4 3 m'
_symmetry_Int_Tables_number 216
_symmetry_space_group_name_Hall 'F -4 2 3'
_cell_length_a 7.552
_cell_length_b 7.552
_cell_length_c 7.552
_cell_angle_alpha 90.00
_cell_angle_beta 90.00
_cell_angle_gamma 90.00
loop_
_atom_site_label
_atom_site_type_symbol
_atom_site_fract_x
_atom_site_fract_y
_atom_site_fract_z
Pu1 Pu 0.000 0.000 0.000
Pa1 Pa 0.000 0.000 0.500
Ag1 Ag 0.250 0.250 0.750
Bi1 Bi 0.250 0.250 0.250
```

***

Entry 2:
Material: PuBRu
Method: DFT, PBE
State: optimized geometry

Values from the calculation:
The energy of formation from the pure elements comes out at -0.155 eV/atom.

CIF file:
```
data_PuBRu
_symmetry_space_group_name_H-M 'P n m a'
_symmetry_Int_Tables_number 62
_cell_length_a 6.845
_cell_length_b 3.892
_cell_length_c 6.642
_cell_angle_alpha 90.00
_cell_angle_beta 90.00
_cell_angle_gamma 90.00
loop_
_symmetry_equiv_pos_as_xyz
'x,y,z'
'-x,-y,-z'
'-x+1/2,-y,z+1/2'
'x+1/2,y,-z+1/2'
'x+1/2,-y+1/2,-z+1/2'
'-x+1/2,y+1/2,z+1/2'
'-x,y+1/2,-z'
'x,-y+1/2,z'
loop_
_atom_site_label
_atom_site_type_symbol
_atom_site_fract_x
_atom_site_fract_y
_atom_site_fract_z
Pu1 Pu 0.008 0.250 0.165
B1 B 0.189 0.750 0.398
Ru1 Ru 0.140 0.250 0.575
```